{"formula": "Li2CuGe", "functional": "PBE-GGA", "state": "optimized geometry", "lattice": [[0.6650, 1.1197, 3.9788], [-1.4735, 3.6519, 1.4210], [-3.1834, 0.0574, 2.7184]], "species": ["Li", "Li", "Cu", "Ge"], "fractional_positions": [[0.7500, 0.7500, 0.7500], [0.5000, 0.5000, 0.5000], [0.2500, 0.2500, 0.2500], [0.0000, 0.0000, 0.0000]], "dft_energy_ev_per_atom": -3.359}